Material: CdFeCl2
Method: DFT, GGA-PBEsol
State: relaxed

Cell: 4.7598 4.7598 4.7598 Å, 60.00 60.00 60.00°
Site moments in Bohr magnetons follow the coordinates.
Atoms (fractional coordinates):
Cl 0.0000 0.0000 0.0000  0.04
Cl 0.7500 0.7500 0.7500  -0.01
Fe 0.2500 0.2500 0.2500  2.96
Cd 0.5000 0.5000 0.5000  -0.07

Computed properties:
Space group ... No. 216
Energy relative to the elements, uncorrected ... 0.4411 eV per atom
Total energy ... -3.1030 eV/atom